No. 1
First-principles (PBE) data for KPPdO after structural relaxation, as listed in OQMD via LeMat-Bulk.

Cell and atoms, written as POSCAR:
```
KPPdO
1.0
4.083 0.000 0.000
0.000 4.083 0.000
0.000 0.000 10.252
K P Pd O
2 2 2 2
Direct
0.250 0.250 0.153
0.750 0.750 0.847
0.250 0.250 0.619
0.750 0.750 0.381
0.250 0.750 0.500
0.750 0.250 0.500
0.250 0.750 0.000
0.750 0.250 0.000
```

Summary:
ΔE to the lowest computed polymorph	197	meV/atom

No. 2
First-principles (PBE) data for ZrInFeAu after structural relaxation, as listed in OQMD via LeMat-Bulk.

Cell and atoms, written as POSCAR:
```
ZrInFeAu
1.0
0.000 3.298 3.298
3.298 0.000 3.298
3.298 3.298 0.000
Zr In Fe Au
1 1 1 1
Direct
0.000 0.000 0.000
0.250 0.250 0.250
0.500 0.500 0.500
0.750 0.750 0.750
```

Summary:
ΔE to the lowest computed polymorph	125	meV/atom
magnetic moment	0.602	μB per atom

No. 3
First-principles (PBE) data for YNiBi after structural relaxation, as listed in OQMD via LeMat-Bulk.

Cell and atoms, written as POSCAR:
```
YNiBi
1.0
7.362 0.000 0.000
-3.681 6.376 0.000
0.000 0.000 4.169
Y Ni Bi
3 3 3
Direct
0.000 0.611 0.000
0.389 0.389 0.000
0.611 0.000 0.000
0.000 0.000 0.000
0.333 0.667 0.500
0.667 0.333 0.500
0.000 0.276 0.500
0.276 0.000 0.500
0.724 0.724 0.500
```

Summary:
final energy	-0.216	Ha/atom
magnetic moment	0.001	μB per atom

No. 4
First-principles (PBE) data for Hf2Ta after structural relaxation, as listed in OQMD via LeMat-Bulk.

Cell and atoms, written as POSCAR:
```
Hf2Ta
1.0
5.587 0.000 0.000
-2.794 4.839 0.000
0.000 0.000 9.121
Hf Ta
8 4
Direct
0.000 0.000 0.000
0.000 0.000 0.500
0.174 0.347 0.250
0.174 0.826 0.250
0.347 0.174 0.750
0.653 0.826 0.250
0.826 0.174 0.750
0.826 0.653 0.750
0.333 0.667 0.564
0.333 0.667 0.936
0.667 0.333 0.064
0.667 0.333 0.436
```

Summary:
formation enthalpy at 0 K	0.463	eV per atom
ΔE to the lowest computed polymorph	330	meV/atom
magnetic moment	0.001	μB per atom